Entry from the Alexandria database: a relaxed structure of In2P (PBEsol).

Geometry as POSCAR:
```
In2P
1.0
-3.597 -1.100 1.081
3.029 -2.421 0.532
0.793 2.025 4.699
P In
1 2
Direct
0.000 0.000 0.000
0.667 0.333 0.711
0.333 0.667 0.289
```

Its total magnetization is 0.000 μB/atom. The calculated volume comes out at 68.7 Å³ per cell. The total energy is -3.97 eV per atom. As for the space group: P-3m1. As for the energy relative to the lowest polymorph listed for this composition: 0.0 meV per atom.

=====

Entry from the Alexandria database: a relaxed structure of LiZn3Fe (PBEsol).

Geometry as POSCAR:
```
LiZn3Fe
1.0
4.545 0.000 0.000
0.000 4.545 0.000
0.000 0.000 4.545
Zn Fe Li
3 1 1
Direct
0.000 0.000 0.500
0.000 0.500 0.000
0.500 0.000 0.000
0.000 0.000 0.000
0.500 0.500 0.500
```

Its total magnetization is 0.219 μB/atom. The calculated volume comes out at 93.9 Å³ per cell. The total energy is -2.72 eV per atom. As for the space group: Pm-3m.

=====

Entry from the Alexandria database: a relaxed structure of Nd2MnNiO6 (PBEsol).

Geometry as POSCAR:
```
Nd2MnNiO6
1.0
5.357 0.000 0.000
0.000 5.448 0.000
-0.005 0.000 7.597
O Nd Mn Ni
12 4 2 2
Direct
0.796 0.218 0.541
0.296 0.282 0.041
0.204 0.782 0.459
0.217 0.794 0.040
0.076 0.513 0.744
0.924 0.487 0.256
0.717 0.706 0.540
0.576 0.987 0.244
0.424 0.013 0.756
0.283 0.294 0.460
0.704 0.718 0.959
0.783 0.206 0.960
0.489 0.549 0.250
0.511 0.451 0.750
0.011 0.049 0.250
0.989 0.951 0.750
0.000 0.500 0.500
0.500 0.000 0.000
0.500 0.000 0.500
0.000 0.500 0.000
```

Its total magnetization is 0.498 μB/atom. The calculated volume comes out at 221.7 Å³ per cell. The total energy is -8.22 eV per atom. As for the space group: P2_1/c. Its energy relative to the elements, uncorrected is -2.4472 eV/atom.

=====

Entry from the Alexandria database: a relaxed structure of LaAg2Au (PBEsol).

Geometry as POSCAR:
```
LaAg2Au
1.0
4.906 0.000 0.000
2.453 4.310 -0.038
2.453 1.431 4.066
Ag La Au
2 1 1
Direct
0.750 0.750 0.750
0.007 0.993 0.993
0.250 0.250 0.250
0.493 0.507 0.507
```

Its total magnetization is 0.000 μB/atom. The calculated volume comes out at 86.2 Å³ per cell. The total energy is -4.32 eV per atom. As for the space group: Imm2. As for the energy relative to the lowest polymorph listed for this composition: 23.9 meV per atom.

=====

Entry from the Alexandria database: a relaxed structure of In3GaF (PBEsol).

Geometry as POSCAR:
```
In3GaF
1.0
-0.904 -5.012 1.333
1.420 -1.540 -4.829
4.988 -0.470 1.616
In F Ga
3 1 1
Direct
0.000 0.000 0.500
0.500 0.000 0.000
0.000 0.500 0.000
0.500 0.500 0.500
0.000 0.000 0.000
```

Its total magnetization is 0.000 μB/atom. The calculated volume comes out at 145.9 Å³ per cell. The total energy is -2.87 eV per atom. As for the space group: Pm-3m. Its energy relative to the elements, uncorrected is -0.0266 eV/atom.

=====

Entry from the Alexandria database: a relaxed structure of ZrAlBr2 (PBEsol).

Geometry as POSCAR:
```
ZrAlBr2
1.0
3.291 0.000 0.000
0.000 4.792 0.000
-1.646 -2.396 5.844
Br Al Zr
2 1 1
Direct
0.978 0.978 0.957
0.198 0.698 0.395
0.810 0.310 0.621
0.514 0.514 0.027
```

Its total magnetization is 0.000 μB/atom. The calculated volume comes out at 92.2 Å³ per cell. The total energy is -4.59 eV per atom. As for the space group: Imm2. Its energy relative to the elements, uncorrected is -0.3573 eV/atom. As for the energy relative to the lowest polymorph listed for this composition: 179.7 meV per atom.

=====

Entry from the Alexandria database: a relaxed structure of Al2ReMo (PBEsol).

Geometry as POSCAR:
```
Al2ReMo
1.0
-2.106 2.187 -0.756
-1.396 -2.016 -1.944
-3.500 -1.842 4.424
Re Al Mo
1 2 1
Direct
0.500 0.500 0.752
0.000 0.000 0.993
0.500 0.500 0.252
0.000 0.000 0.503
```

Its total magnetization is 0.000 μB/atom. The calculated volume comes out at 58.1 Å³ per cell. The total energy is -8.62 eV per atom. As for the space group: P4mm. As for the energy relative to the lowest polymorph listed for this composition: 0.0 meV per atom.

=====

Entry from the Alexandria database: a relaxed structure of ScZn2Re (PBEsol).

Geometry as POSCAR:
```
ScZn2Re
1.0
4.441 0.000 0.000
2.220 3.846 0.000
2.220 1.282 3.626
Re Sc Zn
1 1 2
Direct
0.500 0.500 0.500
0.250 0.250 0.250
0.750 0.750 0.750
0.000 0.000 0.000
```

Its total magnetization is 0.000 μB/atom. The calculated volume comes out at 61.9 Å³ per cell. The total energy is -5.57 eV per atom. As for the space group: F-43m. As for the energy relative to the lowest polymorph listed for this composition: 202.3 meV per atom.

=====

Entry from the Alexandria database: a relaxed structure of Nb2Cd2O7 (PBEsol).

Geometry as POSCAR:
```
Nb2Cd2O7
1.0
-0.201 -6.985 -2.366
2.850 -5.386 4.158
-4.457 -4.879 3.280
O Cd Nb
14 4 4
Direct
0.555 0.945 0.555
0.555 0.555 0.945
0.305 0.695 0.305
0.695 0.305 0.695
0.695 0.305 0.305
0.000 0.000 0.000
0.945 0.555 0.945
0.945 0.945 0.555
0.945 0.555 0.555
0.305 0.305 0.695
0.250 0.250 0.250
0.305 0.695 0.695
0.695 0.695 0.305
0.555 0.945 0.945
0.125 0.125 0.125
0.125 0.625 0.125
0.625 0.125 0.125
0.125 0.125 0.625
0.625 0.625 0.125
0.625 0.625 0.625
0.125 0.625 0.625
0.625 0.125 0.625
```

Its total magnetization is 0.000 μB/atom. The calculated volume comes out at 283.9 Å³ per cell. The total energy is -7.53 eV per atom. As for the space group: Fd-3m. Its energy relative to the elements, uncorrected is -2.0041 eV/atom.

=====

Entry from the Alexandria database: a relaxed structure of La5Zn3 (PBEsol).

Geometry as POSCAR:
```
La5Zn3
1.0
-2.227 3.255 4.233
-8.036 3.234 -2.761
-5.032 -5.314 5.394
Zn La
6 10
Direct
0.661 0.500 0.177
0.339 0.500 0.823
0.750 0.000 0.000
0.250 0.000 0.000
0.161 0.177 0.500
0.839 0.823 0.500
0.278 0.310 0.134
0.722 0.690 0.866
0.750 0.500 0.500
0.912 0.310 0.866
0.222 0.866 0.690
0.412 0.866 0.310
0.088 0.690 0.134
0.250 0.500 0.500
0.588 0.134 0.690
0.778 0.134 0.310
```

Its total magnetization is 0.005 μB/atom. The calculated volume comes out at 429.8 Å³ per cell. The total energy is -4.10 eV per atom. As for the space group: I4/mcm. As for the energy relative to the lowest polymorph listed for this composition: 0.0 meV per atom.

=====

Entry from the Alexandria database: a relaxed structure of K2SnHOF6 (PBEsol).

Geometry as POSCAR:
```
K2SnHOF6
1.0
9.245 -0.037 0.000
-1.087 9.181 0.000
-4.079 -4.572 8.734
Sn K F H O
4 8 24 4 4
Direct
0.082 0.154 0.496
0.658 0.586 0.504
0.404 0.832 0.996
0.836 0.408 0.004
0.164 0.664 0.500
0.596 0.096 0.500
0.997 0.502 0.750
0.497 0.502 0.750
0.346 0.346 0.000
0.752 0.247 0.250
0.752 0.747 0.250
0.914 0.914 0.000
0.867 0.636 0.031
0.757 0.331 0.781
0.607 0.398 0.968
0.804 0.190 0.998
0.430 0.638 0.032
0.282 0.137 0.469
0.886 0.617 0.531
0.550 0.976 0.219
0.192 0.806 0.002
0.086 0.355 0.469
0.440 0.554 0.498
0.928 0.026 0.272
0.276 0.678 0.772
0.754 0.655 0.728
0.888 0.180 0.532
0.581 0.507 0.281
0.905 0.504 0.228
0.063 0.418 0.031
0.387 0.032 0.969
0.056 0.942 0.502
0.648 0.357 0.468
0.668 0.813 0.531
0.605 0.836 0.969
0.226 0.300 0.719
0.110 0.270 0.075
0.285 0.945 0.425
0.195 0.035 0.925
0.520 0.860 0.575
0.325 0.847 0.418
0.157 0.179 0.082
0.429 0.907 0.582
0.097 0.075 0.918
```

Its total magnetization is 0.003 μB/atom. The calculated volume comes out at 741.0 Å³ per cell. The total energy is -4.76 eV per atom. As for the space group: Fdd2.

=====

Entry from the Alexandria database: a relaxed structure of ScHg2Br (PBEsol).

Geometry as POSCAR:
```
ScHg2Br
1.0
-0.054 4.026 -0.195
-4.004 -0.077 -0.464
1.389 -1.718 5.805
Sc Hg Br
1 2 1
Direct
0.500 0.500 0.000
0.750 0.250 0.500
0.250 0.750 0.500
0.000 0.000 0.000
```

Its total magnetization is 0.000 μB/atom. The calculated volume comes out at 89.7 Å³ per cell. The total energy is -2.77 eV per atom. As for the space group: I4/mmm. Its energy relative to the elements, uncorrected is -0.3700 eV/atom. As for the energy relative to the lowest polymorph listed for this composition: 13.6 meV per atom.

=====

Entry from the Alexandria database: a relaxed structure of LiNi2OF3 (PBEsol).

Geometry as POSCAR:
```
LiNi2OF3
1.0
-0.802 -5.188 2.542
4.130 -2.217 3.470
-0.998 -0.205 5.958
Ni F Li O
4 6 2 2
Direct
0.500 0.000 0.500
0.000 0.000 0.500
0.000 0.500 0.500
0.000 0.000 0.000
0.752 0.238 0.772
0.762 0.762 0.228
0.238 0.752 0.772
0.762 0.248 0.228
0.248 0.762 0.228
0.238 0.238 0.772
0.352 0.352 0.943
0.648 0.648 0.057
0.224 0.224 0.328
0.776 0.776 0.672
```

Its total magnetization is 0.516 μB/atom. The calculated volume comes out at 147.9 Å³ per cell. The total energy is -5.20 eV per atom. As for the space group: R-3m. Its energy relative to the elements, uncorrected is -1.5802 eV/atom. As for the energy relative to the lowest polymorph listed for this composition: 8.1 meV per atom.

=====

Entry from the Alexandria database: a relaxed structure of Mg2TlIn (PBEsol).

Geometry as POSCAR:
```
Mg2TlIn
1.0
3.432 0.000 0.000
0.000 4.471 0.000
0.000 0.000 6.170
Mg In Tl
2 1 1
Direct
0.500 0.500 0.258
0.000 0.000 0.989
0.500 0.500 0.768
0.000 0.000 0.485
```

Its total magnetization is 0.000 μB/atom. The calculated volume comes out at 94.7 Å³ per cell. The total energy is -2.32 eV per atom. As for the space group: Pmm2.

=====

Entry from the Alexandria database: a relaxed structure of SrCa2Re (PBEsol).

Geometry as POSCAR:
```
SrCa2Re
1.0
-0.863 -5.197 -0.546
3.221 -2.915 -3.030
3.306 -3.483 2.235
Ca Sr Re
2 1 1
Direct
0.250 0.250 0.250
0.750 0.750 0.750
0.500 0.500 0.500
0.000 0.000 0.000
```

Its total magnetization is 0.166 μB/atom. The calculated volume comes out at 105.1 Å³ per cell. The total energy is -4.01 eV per atom. As for the space group: Fm-3m. As for the energy relative to the lowest polymorph listed for this composition: 2.9 meV per atom.

=====

Entry from the Alexandria database: a relaxed structure of BaBiClO2 (PBEsol).

Geometry as POSCAR:
```
BaBiClO2
1.0
-3.567 -1.841 -0.211
1.833 -3.573 0.186
0.419 2.820 6.592
O Ba Cl Bi
2 1 1 1
Direct
0.760 0.260 0.519
0.260 0.760 0.519
0.135 0.135 0.270
0.513 0.513 0.025
0.833 0.833 0.666
```

Its total magnetization is 0.000 μB/atom. The calculated volume comes out at 106.6 Å³ per cell. The total energy is -5.72 eV per atom. As for the space group: I4mm. Its energy relative to the elements, uncorrected is -1.9294 eV/atom.

=====

Entry from the Alexandria database: a relaxed structure of KLu3F10 (PBEsol).

Geometry as POSCAR:
```
KLu3F10
1.0
7.906 0.000 0.000
3.953 6.847 0.000
3.953 2.282 6.455
F Lu K
20 6 2
Direct
0.169 0.500 0.831
0.336 0.888 0.888
0.888 0.336 0.888
0.169 0.500 0.500
0.500 0.169 0.831
0.664 0.112 0.112
0.831 0.500 0.169
0.500 0.500 0.831
0.500 0.169 0.500
0.169 0.831 0.500
0.888 0.888 0.888
0.831 0.500 0.500
0.112 0.664 0.112
0.500 0.500 0.169
0.112 0.112 0.112
0.500 0.831 0.169
0.112 0.112 0.664
0.831 0.169 0.500
0.500 0.831 0.500
0.888 0.888 0.336
0.240 0.240 0.760
0.240 0.760 0.240
0.240 0.760 0.760
0.760 0.760 0.240
0.760 0.240 0.760
0.760 0.240 0.240
0.750 0.750 0.750
0.250 0.250 0.250
```

Its total magnetization is 0.001 μB/atom. The calculated volume comes out at 349.5 Å³ per cell. The total energy is -6.56 eV per atom. As for the space group: Fm-3m. Its energy relative to the elements, uncorrected is -4.0626 eV/atom.

=====

Entry from the Alexandria database: a relaxed structure of Na2PdBr (PBEsol).

Geometry as POSCAR:
```
Na2PdBr
1.0
-4.625 -3.404 -1.039
-0.487 -2.611 -5.666
0.528 -6.105 1.266
Pd Na Br
2 4 2
Direct
0.000 0.000 0.000
0.750 0.500 0.500
0.128 0.997 0.497
0.622 0.003 0.503
0.375 0.497 0.003
0.875 0.503 0.997
0.500 0.000 0.000
0.250 0.500 0.500
```

Its total magnetization is 0.000 μB/atom. The calculated volume comes out at 178.8 Å³ per cell. The total energy is -2.94 eV per atom. As for the space group: I-42d. Its energy relative to the elements, uncorrected is -0.2879 eV/atom.